[1]
The following is a PBE calculation of an optimized crystal structure of Ho3SnSb2, from Alexandria.

Cell lengths 7.4300, 7.6191, 7.6191 Å; angles 119.45, 99.77, 99.77 degrees
Fractional positions:
Ho1 0.0013 0.1611 0.3305
Ho2 0.5013 0.3305 0.1611
Ho3 0.0000 0.5000 0.0000
Ho4 0.9987 0.8389 0.6695
Ho5 0.5000 0.0000 0.5000
Ho6 0.4987 0.6695 0.8389
Sn1 0.2500 0.5825 0.4175
Sn2 0.7500 0.4175 0.5825
Sb1 0.2500 0.9166 0.0834
Sb2 0.2500 0.2503 0.7497
Sb3 0.7500 0.0834 0.9166
Sb4 0.7500 0.7497 0.2503

Computed properties:
Final energy, eV/f.u.: -31.4
SG: C2/c

***

[2]
The following is a PBE calculation of an optimized crystal structure of Ho3SnSb, from Alexandria.

Cell lengths 4.6433, 8.7395, 8.4696 Å; angles 85.99, 90.00, 105.41 degrees
Last column: magnetic moment on the atom in μB.
Fractional positions:
Ho1 0.0373 0.0745 0.2391  0.14
Ho2 0.9627 0.9255 0.7609  0.14
Ho3 0.7397 0.4794 0.8478  0.01
Ho4 0.2603 0.5206 0.1522  0.01
Ho5 0.8267 0.6534 0.4468  0.09
Ho6 0.1733 0.3466 0.5532  0.09
Sn1 0.3492 0.6984 0.6810  0.00
Sn2 0.6508 0.3016 0.3190  0.00
Sb1 0.1199 0.2398 0.9095  0.00
Sb2 0.8801 0.7602 0.0905  0.00

Computed properties:
Final energy, eV/f.u.: -24.3
SG: C2/m

***

[3]
The following is a PBE calculation of an optimized crystal structure of Ho4SnSb2, from Alexandria.

Cell lengths 8.2618, 8.2618, 8.2563 Å; angles 108.91, 108.91, 110.63 degrees
Fractional positions:
Ho1 0.9359 0.2486 0.3123
Ho2 0.3141 0.5014 0.1877
Ho3 0.9363 0.6236 0.6877
Ho4 0.7514 0.0641 0.6877
Ho5 0.3764 0.0637 0.3123
Ho6 0.3137 0.1264 0.8123
Ho7 0.4986 0.6859 0.8123
Ho8 0.8736 0.6863 0.1877
Sn1 0.2500 0.7500 0.5000
Sn2 0.0000 0.0000 0.0000
Sb1 0.6250 0.3750 0.7500
Sb2 0.6250 0.8750 0.2500
Sb3 0.6250 0.3750 0.2500
Sb4 0.1250 0.3750 0.7500

Computed properties:
Final energy, eV/f.u.: -35.6
SG: I4_1/amd

***

[4]
The following is a PBE calculation of an optimized crystal structure of Ho5SnSb4, from Alexandria.

Cell lengths 6.1773, 7.5676, 7.5676 Å; angles 80.41, 65.91, 65.91 degrees
Fractional positions:
Ho1 0.9002 0.4018 0.7999
Ho2 0.3020 0.7999 0.5982
Ho3 0.7000 0.2001 0.4018
Ho4 0.1019 0.5982 0.2001
Ho5 0.5010 0.0000 0.0000
Sn1 0.0010 0.0000 0.0000
Sb1 0.4015 0.3999 0.7993
Sb2 0.8013 0.7993 0.6001
Sb3 0.2008 0.2007 0.3999
Sb4 0.6006 0.6001 0.2007

Computed properties:
Final energy, eV/f.u.: -53.2
SG: I4/m
Distance to the lowest polymorph of the same formula, meV per atom: 3.5

***

[5]
The following is a PBE calculation of an optimized crystal structure of Ho5Sn2Sb2, from Alexandria.

Cell lengths 8.1267, 8.0936, 8.6751 Å; angles 117.81, 90.00, 90.00 degrees
Fractional positions:
Ho1 0.0000 0.0000 0.0000
Ho2 0.5000 0.5000 0.0000
Ho3 0.8366 0.8009 0.2702
Ho4 0.1634 0.4693 0.2702
Ho5 0.3366 0.9693 0.2702
Ho6 0.6634 0.3009 0.2702
Ho7 0.1634 0.1991 0.7298
Ho8 0.8366 0.5307 0.7298
Ho9 0.6634 0.0307 0.7298
Ho10 0.3366 0.6991 0.7298
Sn1 0.6364 0.8634 0.0000
Sn2 0.3636 0.1366 0.0000
Sn3 0.1364 0.6366 0.0000
Sn4 0.8636 0.3634 0.0000
Sb1 0.0000 0.2026 0.4053
Sb2 0.5000 0.7026 0.4053
Sb3 0.0000 0.7974 0.5947
Sb4 0.5000 0.2974 0.5947

Computed properties:
Final energy, eV/f.u.: -47.2
SG: Cmce

***

[6]
The following is a PBE calculation of an optimized crystal structure of Ho4SnSb3, from Alexandria.

Cell lengths 6.1813, 6.1813, 6.1813 Å; angles 90.00, 90.00, 90.00 degrees
Fractional positions:
Sb1 0.0000 0.5000 0.5000
Sb2 0.5000 0.0000 0.5000
Sb3 0.5000 0.5000 0.0000
Ho1 0.5000 0.0000 0.0000
Ho2 0.0000 0.5000 0.0000
Ho3 0.0000 0.0000 0.5000
Ho4 0.5000 0.5000 0.5000
Sn1 0.0000 0.0000 0.0000

Computed properties:
Final energy, eV/f.u.: -42.3
SG: Pm-3m

***

[7]
The following is a PBE calculation of an optimized crystal structure of Ho6SnSb2, from Alexandria.

Cell lengths 6.2494, 8.3034, 10.1391 Å; angles 90.00, 90.14, 90.00 degrees
Fractional positions:
Ho1 0.8650 0.9609 0.2218
Ho2 0.8690 0.6590 0.5496
Ho3 0.8879 0.6967 0.9455
Ho4 0.6121 0.1967 0.5545
Ho5 0.6310 0.1590 0.9504
Ho6 0.6350 0.4609 0.2782
Ho7 0.1350 0.0391 0.7782
Ho8 0.1310 0.3410 0.4504
Ho9 0.1121 0.3033 0.0545
Ho10 0.3879 0.8033 0.4455
Ho11 0.3690 0.8410 0.0496
Ho12 0.3650 0.5391 0.7218
Sn1 0.5000 0.5000 0.0000
Sn2 0.0000 0.0000 0.5000
Sb1 0.9052 0.3849 0.7572
Sb2 0.5948 0.8849 0.7428
Sb3 0.4052 0.1151 0.2572
Sb4 0.0948 0.6151 0.2428

Computed properties:
Final energy, eV/f.u.: -44.8
SG: P2_1/c

***

[8]
The following is a PBE calculation of an optimized crystal structure of Ho4SnSbTe2, from Alexandria.

Cell lengths 4.3698, 7.5646, 7.5709 Å; angles 70.58, 90.00, 90.00 degrees
Fractional positions:
Ho1 0.0000 0.7366 0.7574
Ho2 0.0000 0.2634 0.2426
Ho3 0.5000 0.7371 0.2510
Ho4 0.5000 0.2629 0.7490
Sn1 0.5000 0.5000 0.0000
Sb1 0.0000 0.5000 0.5000
Te1 0.0000 0.0000 0.0000
Te2 0.5000 0.0000 0.5000

Computed properties:
Final energy, eV/f.u.: -41.9
SG: P2/m

***

[9]
The following is a PBE calculation of an optimized crystal structure of Sr3HoTh2Sb6, from Alexandria.

Cell lengths 7.9330, 7.9330, 8.1209 Å; angles 99.38, 99.38, 120.02 degrees
Fractional positions:
Sr1 0.1682 0.8318 0.5000
Sr2 0.8318 0.1682 0.5000
Sr3 0.5000 0.5000 0.5000
Ho1 0.0000 0.0000 0.0000
Th1 0.3337 0.6663 0.0000
Th2 0.6663 0.3337 0.0000
Sb1 0.9242 0.5947 0.7719
Sb2 0.7473 0.7473 0.2297
Sb3 0.0758 0.4053 0.2281
Sb4 0.5947 0.9242 0.7719
Sb5 0.2527 0.2527 0.7703
Sb6 0.4053 0.0758 0.2281

Computed properties:
Final energy, eV/f.u.: -61.1
SG: C2/m

***

[10]
The following is a PBE calculation of an optimized crystal structure of Tb4HoSb5, from Alexandria.

Cell lengths 4.3956, 6.2111, 11.6214 Å; angles 105.50, 100.90, 90.00 degrees
Fractional positions:
Tb1 0.4001 0.4001 0.8001
Tb2 0.8004 0.8004 0.6008
Tb3 0.1996 0.1996 0.3992
Tb4 0.5999 0.5999 0.1999
Ho1 0.0000 0.0000 0.0000
Sb1 0.5991 0.0991 0.1982
Sb2 0.7999 0.2999 0.5998
Sb3 0.2001 0.7001 0.4002
Sb4 0.0000 0.5000 0.0000
Sb5 0.4009 0.9009 0.8018

Computed properties:
Final energy, eV/f.u.: -55.1
SG: Immm

***

[11]
The following is a PBE calculation of an optimized crystal structure of TbHo3Sb4, from Alexandria.

Cell lengths 6.1833, 6.1833, 6.1833 Å; angles 90.00, 90.00, 90.00 degrees
Fractional positions:
Tb1 0.0000 0.0000 0.0000
Ho1 0.0000 0.5000 0.5000
Ho2 0.5000 0.0000 0.5000
Ho3 0.5000 0.5000 0.0000
Sb1 0.5000 0.0000 0.0000
Sb2 0.0000 0.5000 0.0000
Sb3 0.0000 0.0000 0.5000
Sb4 0.5000 0.5000 0.5000

Computed properties:
Final energy, eV/f.u.: -43.9
SG: Pm-3m

***

Number 1: density of states at the Fermi level 5.18 states/eV per cell. Number 2: density of states at the Fermi level 6.67 states/eV per cell. Number 3: density of states at the Fermi level 9.72 states/eV per cell. Number 4: density of states at the Fermi level 4.55 states/eV per cell. Number 5: density of states at the Fermi level 13.79 states/eV per cell. Number 6: density of states at the Fermi level 3.92 states/eV per cell. Number 7: density of states at the Fermi level 19.48 states/eV per cell. Number 8: density of states at the Fermi level 1.49 states/eV per cell. Number 9: density of states at the Fermi level 7.17 states/eV per cell. Number 10: density of states at the Fermi level 1.99 states/eV per cell. Number 11: density of states at the Fermi level 0.49 states/eV per cell.